1.
Below is a relaxed Tm3Pt2Pb crystal, with properties calculated at the PBE level.

POSCAR file:
```
Tm3Pt2Pb
1.0
3.469 0.000 0.000
0.000 3.469 0.000
0.000 0.000 11.545
Tm Pt Pb
3 2 1
Direct
0.000 0.000 0.000
0.000 0.000 0.291
0.000 0.000 0.709
0.500 0.500 0.151
0.500 0.500 0.849
0.500 0.500 0.500
```

Summary:
Formation energy from the elements   -1.007 eV per atom
Crystal system   tetragonal

***

2.
Below is a relaxed Y8Te4P3H crystal, with properties calculated at the PBE level.

POSCAR file:
```
Y8Te4P3H
1.0
4.086 2.359 7.030
-4.086 2.359 7.030
0.000 -4.718 7.030
Y Te P H
8 4 3 1
Direct
0.233 0.739 0.739
0.236 0.236 0.236
0.261 0.261 0.767
0.261 0.767 0.261
0.739 0.233 0.739
0.739 0.739 0.233
0.764 0.764 0.764
0.767 0.261 0.261
0.000 0.000 0.000
0.000 0.500 0.500
0.500 0.000 0.500
0.500 0.500 0.000
0.000 0.000 0.500
0.000 0.500 0.000
0.500 0.000 0.000
0.500 0.500 0.500
```

Summary:
Crystal system   trigonal

***

3.
Below is a relaxed KBaV2Ir crystal, with properties calculated at the PBE level.

POSCAR file:
```
KBaV2Ir
1.0
4.714 0.000 0.000
0.000 4.714 0.000
0.000 0.000 5.476
K Ba V Ir
1 1 2 1
Direct
0.000 0.000 0.000
0.500 0.500 0.500
0.000 0.500 0.000
0.500 0.000 0.000
0.000 0.000 0.500
```

Summary:
Formation energy from the elements   2.323 eV per atom
Crystal system   tetragonal

***

4.
Below is a relaxed YTlAu2 crystal, with properties calculated at the PBE level.

POSCAR file:
```
YTlAu2
1.0
-3.952 3.952 3.261
3.952 -3.952 3.261
3.952 3.952 -3.261
Y Tl Au
2 2 4
Direct
0.000 0.000 0.000
0.750 0.250 0.500
0.250 0.750 0.500
0.500 0.500 0.000
0.125 0.125 0.500
0.375 0.875 0.000
0.625 0.625 0.500
0.875 0.375 0.000
```

Summary:
Formation energy from the elements   -0.274 eV per atom
Crystal system   tetragonal

***

5.
Below is a relaxed Na3In3WS8 crystal, with properties calculated at the PBE level.

POSCAR file:
```
Na3In3WS8
1.0
3.813 2.201 6.748
-3.813 2.201 6.748
0.000 -4.403 6.748
Na In W S
3 3 1 8
Direct
0.000 0.500 0.500
0.500 0.000 0.500
0.500 0.500 0.000
0.000 0.000 0.500
0.000 0.500 0.000
0.500 0.000 0.000
0.500 0.500 0.500
0.240 0.240 0.240
0.260 0.723 0.723
0.277 0.277 0.740
0.277 0.740 0.277
0.723 0.260 0.723
0.723 0.723 0.260
0.740 0.277 0.277
0.760 0.760 0.760
```

Summary:
Raw formation energy   -0.73 eV/atom
Crystal system   trigonal

***

6.
Below is a relaxed LiAcSb2 crystal, with properties calculated at the PBE level.

POSCAR file:
```
LiAcSb2
1.0
4.115 0.000 0.000
0.000 4.115 0.000
0.000 0.000 6.826
Li Ac Sb
1 1 2
Direct
0.000 0.000 0.000
0.000 0.000 0.500
0.500 0.500 0.217
0.500 0.500 0.783
```

Summary:
Raw formation energy   -0.60 eV/atom
Crystal system   tetragonal

***

7.
Below is a relaxed InSb2Rh crystal, with properties calculated at the PBE level.

POSCAR file:
```
InSb2Rh
1.0
4.989 -1.650 0.000
4.989 1.650 0.000
-2.252 0.000 5.880
In Sb Rh
1 2 1
Direct
0.000 0.000 0.000
0.651 0.651 0.648
0.844 0.844 0.371
0.275 0.275 0.008
```

Summary:
Raw formation energy   -0.19 eV/atom
Crystal system   monoclinic

***

8.
Below is a relaxed SrTb2Os crystal, with properties calculated at the PBE level.

POSCAR file:
```
SrTb2Os
1.0
2.018 1.165 10.779
-2.018 1.165 10.779
0.000 -2.331 10.779
Sr Tb Os
1 2 1
Direct
0.000 0.000 0.000
0.121 0.121 0.121
0.879 0.879 0.879
0.500 0.500 0.500
```

Summary:
Formation energy from the elements   0.163 eV per atom
Crystal system   trigonal

***

9.
Below is a relaxed Cs2Ga3Pt2 crystal, with properties calculated at the PBE level.

POSCAR file:
```
Cs2Ga3Pt2
1.0
6.811 -2.128 0.000
6.811 2.128 0.000
-5.257 0.000 6.689
Cs Ga Pt
2 3 2
Direct
0.142 0.142 0.265
0.858 0.858 0.735
0.327 0.327 0.068
0.500 0.500 0.500
0.673 0.673 0.932
0.109 0.109 0.713
0.891 0.891 0.287
```

Summary:
Formation energy from the elements   -0.403 eV per atom
Crystal system   monoclinic

***

10.
Below is a relaxed RbGeTe2 crystal, with properties calculated at the PBE level.

POSCAR file:
```
RbGeTe2
1.0
2.107 1.216 10.068
-2.107 1.216 10.068
0.000 -2.432 10.068
Rb Ge Te
1 1 2
Direct
0.000 0.000 0.000
0.500 0.500 0.500
0.113 0.113 0.113
0.887 0.887 0.887
```

Summary:
Raw formation energy   -0.12 eV/atom
Crystal system   trigonal

***

11.
Below is a relaxed PmGa2SnPd5 crystal, with properties calculated at the PBE level.

POSCAR file:
```
PmGa2SnPd5
1.0
4.251 0.000 0.000
0.000 4.251 0.000
0.000 0.000 9.255
Pm Ga Sn Pd
1 2 1 5
Direct
0.000 0.000 0.000
0.500 0.500 0.366
0.500 0.500 0.634
0.000 0.000 0.500
0.000 0.500 0.225
0.000 0.500 0.775
0.500 0.000 0.225
0.500 0.000 0.775
0.500 0.500 0.000
```

Summary:
Formation energy from the elements   -0.552 eV per atom
Crystal system   tetragonal

***

12.
Below is a relaxed Nb2InOs2 crystal, with properties calculated at the PBE level.

POSCAR file:
```
Nb2InOs2
1.0
-2.019 2.019 6.198
2.019 -2.019 6.198
2.019 2.019 -6.198
Nb In Os
2 1 2
Direct
0.121 0.121 0.000
0.879 0.879 0.000
0.500 0.500 0.000
0.250 0.750 0.500
0.750 0.250 0.500
```

Summary:
Formation energy from the elements   0.339 eV per atom
Crystal system   tetragonal

***

Computed energy, in the same sequence as the records: -5.875, -6.580, -3.701, -4.121, -4.608, -4.171, -4.776, -5.380, -3.670, -3.085, -5.082, -8.728 eV/atom.